## 1
The following is a PBEsol calculation of crystalline CoRhCl2 at its relaxed geometry, from the Alexandria database.

Unit cell a=3.6744 b=5.0037 c=7.3693 alpha=90.00 beta=90.00 gamma=90.00
Closest atoms and distances in Å follow each position.
Space group Cmm2 (No. 35)
Inequivalent atoms, fractional coordinates:
Co  0.0000  0.0000  0.0000 x2  2 Cl 2.30, 2 Rh 2.31
Rh  0.0000  0.5000  0.8099 x2  2 Co 2.31, 2 Cl 2.45
Cl  0.0000  0.0000  0.5898 x2  2 Rh 2.45
Cl  0.0000  0.5000  0.1881 x2  2 Co 2.30

Computed properties:
total moment: 4.744 μB/cell


## 2
The following is a PBEsol calculation of crystalline CoRhCl2 at its relaxed geometry, from the Alexandria database.

Unit cell a=3.1172 b=3.1172 c=22.2920 alpha=90.00 beta=90.00 gamma=120.00
Closest atoms and distances in Å follow each position.
Space group R-3m (No. 166, hexagonal axes)
Inequivalent atoms, fractional coordinates:
Co  0.0000  0.0000  0.0000 x3  6 Cl 2.32
Rh  0.0000  0.0000  0.5000 x3  2 Cl 2.25
Cl  0.0000  0.0000  0.3990 x6  1 Rh 2.25, 3 Co 2.32

Computed properties:
total moment: 6.527 μB/cell


2 has the most favorable energy; the next structure is 27 meV per atom above.


## 1
The following is a PBEsol calculation of crystalline CoRuS2Cl at its relaxed geometry, from the Alexandria database.

Unit cell a=4.4648 b=4.4648 c=4.8199 alpha=90.00 beta=90.00 gamma=90.00
Closest atoms and distances in Å follow each position.
Space group P4/mmm (No. 123)
Inequivalent atoms, fractional coordinates:
Co  0.0000  0.0000  0.0000 x1  4 Cl 3.16, 8 S 3.29
Ru  0.5000  0.5000  0.5000 x1  4 S 2.23, 2 Cl 2.41
S  0.0000  0.5000  0.5000 x2  2 Ru 2.23
Cl  0.5000  0.5000  0.0000 x1  2 Ru 2.41

Computed properties:
total moment: 2.711 μB/cell


## 2
The following is a PBEsol calculation of crystalline CoRuS2Cl at its relaxed geometry, from the Alexandria database.

Unit cell a=4.3245 b=4.3245 c=4.3633 alpha=90.00 beta=90.00 gamma=90.00
Closest atoms and distances in Å follow each position.
Space group P4/mmm (No. 123)
Inequivalent atoms, fractional coordinates:
Co  0.0000  0.0000  0.0000 x1  4 S 2.16, 2 Cl 2.18
Ru  0.5000  0.5000  0.5000 x1  4 Cl 3.06, 8 S 3.07
S  0.0000  0.5000  0.0000 x2  2 Co 2.16
Cl  0.0000  0.0000  0.5000 x1  2 Co 2.18

Computed properties:
total moment: 3.156 μB/cell


1 has the most favorable energy; the next structure is 27 meV per atom above.


## 1
The following is a PBEsol calculation of crystalline CoSb2Cl at its relaxed geometry, from the Alexandria database.

Unit cell a=6.8736 b=6.8736 c=6.8736 alpha=90.00 beta=90.00 gamma=90.00
Closest atoms and distances in Å follow each position.
Space group F-43m (No. 216)
Inequivalent atoms, fractional coordinates:
Co  0.0000  0.0000  0.0000 x4  4 Sb 2.98, 4 Cl 2.98
Sb  0.0000  0.0000  0.5000 x4  4 Cl 2.98, 4 Sb 2.98
Sb  0.2500  0.2500  0.2500 x4  4 Co 2.98, 4 Sb 2.98
Cl  0.2500  0.2500  0.7500 x4  4 Co 2.98, 4 Sb 2.98

Computed properties:
total moment: 7.444 μB/cell


## 2
The following is a PBEsol calculation of crystalline CoSb2Cl at its relaxed geometry, from the Alexandria database.

Unit cell a=3.0748 b=3.0748 c=8.7238 alpha=90.00 beta=90.00 gamma=90.00
Closest atoms and distances in Å follow each position.
Space group P4mm (No. 99)
Inequivalent atoms, fractional coordinates:
Co  0.0000  0.0000  0.0000 x1  4 Cl 2.62, 4 Sb 2.67
Sb  0.0000  0.0000  0.4967 x1  4 Sb 3.07
Sb  0.5000  0.5000  0.1779 x1  4 Co 2.67
Cl  0.5000  0.5000  0.8324 x1  4 Co 2.62

Computed properties:
total moment: 1.179 μB/cell


## 3
The following is a PBEsol calculation of crystalline CoSb2Cl at its relaxed geometry, from the Alexandria database.

Unit cell a=3.2041 b=3.2041 c=8.8282 alpha=90.00 beta=90.00 gamma=90.00
Closest atoms and distances in Å follow each position.
Space group P4mm (No. 99)
Inequivalent atoms, fractional coordinates:
Co  0.0000  0.0000  0.0000 x1  5 Sb 2.47-2.49
Sb  0.0000  0.0000  0.2815 x1  1 Co 2.49
Sb  0.5000  0.5000  0.8890 x1  1 Cl 2.37, 4 Co 2.47
Cl  0.5000  0.5000  0.6202 x1  1 Sb 2.37

Computed properties:
total moment: 0.002 μB/cell


3 has the most favorable energy; the next structure is 156 meV per atom above.


## 1
The following is a PBEsol calculation of crystalline Co2SbCl at its relaxed geometry, from the Alexandria database.

Unit cell a=3.1618 b=3.1618 c=6.9975 alpha=90.00 beta=90.00 gamma=90.00
Closest atoms and distances in Å follow each position.
Space group P4mm (No. 99)
Inequivalent atoms, fractional coordinates:
Co  0.0000  0.0000  0.0000 x1  4 Co 2.45, 1 Sb 2.56, 4 Cl 2.60
Co  0.5000  0.5000  0.1425 x1  1 Cl 2.32, 4 Co 2.45
Sb  0.0000  0.0000  0.3653 x1  5 Co 2.56-2.73
Cl  0.5000  0.5000  0.8109 x1  5 Co 2.32-2.60

Computed properties:
total moment: 3.510 μB/cell


## 2
The following is a PBEsol calculation of crystalline Co2SbCl at its relaxed geometry, from the Alexandria database.

Unit cell a=3.0176 b=3.3141 c=6.2877 alpha=90.00 beta=90.00 gamma=90.00
Closest atoms and distances in Å follow each position.
Space group Pmmm (No. 47)
Inequivalent atoms, fractional coordinates:
Co  0.0000  0.0000  0.2022 x2  2 Cl 2.40, 1 Co 2.54, 4 Sb 2.58
Sb  0.5000  0.5000  0.0000 x1  8 Co 2.58
Cl  0.5000  0.0000  0.5000 x1  4 Co 2.40

Computed properties:
total moment: 0.800 μB/cell


1 has the most favorable energy; the next structure is 32 meV per atom above.


## 1
The following is a PBEsol calculation of crystalline ScCo2Cl at its relaxed geometry, from the Alexandria database.

Unit cell a=3.0823 b=3.0823 c=7.0003 alpha=90.00 beta=90.00 gamma=90.00
Closest atoms and distances in Å follow each position.
Space group P4mm (No. 99)
Inequivalent atoms, fractional coordinates:
Sc  0.0000  0.0000  0.0000 x1  5 Co 2.49-2.79, 4 Cl 2.66
Co  0.0000  0.0000  0.6441 x1  4 Co 2.31, 1 Sc 2.49
Co  0.5000  0.5000  0.7521 x1  4 Co 2.31
Cl  0.5000  0.5000  0.2179 x1  4 Sc 2.66

Computed properties:
total moment: 2.412 μB/cell


## 2
The following is a PBEsol calculation of crystalline ScCo2Cl at its relaxed geometry, from the Alexandria database.

Unit cell a=3.4242 b=3.4242 c=9.9694 alpha=90.00 beta=90.00 gamma=90.00
Closest atoms and distances in Å follow each position.
Space group I4/mmm (No. 139)
Inequivalent atoms, fractional coordinates:
Sc  0.0000  0.0000  0.0000 x2  4 Cl 2.42
Co  0.0000  0.5000  0.2500 x4  4 Co 2.42
Cl  0.0000  0.0000  0.5000 x2  4 Sc 2.42

Computed properties:
total moment: 5.771 μB/cell


## 3
The following is a PBEsol calculation of crystalline ScCo2Cl at its relaxed geometry, from the Alexandria database.

Unit cell a=4.7706 b=8.3154 c=3.0355 alpha=90.00 beta=90.00 gamma=90.00
Closest atoms and distances in Å follow each position.
Space group Cmmm (No. 65)
Inequivalent atoms, fractional coordinates:
Sc  0.0000  0.0000  0.0000 x2  2 Cl 2.39
Co  0.2500  0.2500  0.5000 x4  2 Co 2.39
Cl  0.0000  0.5000  0.0000 x2  2 Sc 2.39

Computed properties:
total moment: 6.419 μB/cell


1 has the most favorable energy; the next structure is 259 meV per atom above.


## 1
The following is a PBEsol calculation of crystalline ScCoCl2 at its relaxed geometry, from the Alexandria database.

Unit cell a=6.3465 b=6.3465 c=6.3465 alpha=90.00 beta=90.00 gamma=90.00
Closest atoms and distances in Å follow each position.
Space group F-43m (No. 216)
Inequivalent atoms, fractional coordinates:
Sc  0.0000  0.0000  0.0000 x4  4 Co 2.75, 4 Cl 2.75
Co  0.2500  0.2500  0.2500 x4  4 Cl 2.75, 4 Sc 2.75
Cl  0.0000  0.0000  0.5000 x4  4 Cl 2.75, 4 Co 2.75
Cl  0.2500  0.2500  0.7500 x4  4 Cl 2.75, 4 Sc 2.75

Computed properties:
total moment: 1.205 μB/cell


## 2
The following is a PBEsol calculation of crystalline ScCoCl2 at its relaxed geometry, from the Alexandria database.

Unit cell a=4.3724 b=4.3724 c=14.2280 alpha=90.00 beta=90.00 gamma=90.00
Closest atoms and distances in Å follow each position.
Space group I-42d (No. 122)
Inequivalent atoms, fractional coordinates:
Sc  0.0000  0.0000  0.0000 x4  4 Cl 2.43
Co  0.0000  0.0000  0.5000 x4  4 Cl 2.29
Cl  0.2175  0.2500  0.6250 x8  2 Co 2.29, 2 Sc 2.43

Computed properties:
total moment: 0.019 μB/cell


2 has the most favorable energy; the next structure is 509 meV per atom above.